Entry 1:
The following is a PBE-GGA calculation of a geometry-optimized BaZr2Sc structure, from Alexandria via LeMat-Bulk.

```
BaZr2Sc
1.0
5.235 0.000 0.000
0.000 3.276 -0.002
0.000 1.357 7.034
Zr Ba Sc
2 1 1
Direct
0.000 0.530 0.572
0.000 0.970 0.928
0.500 0.250 0.250
0.500 0.750 0.750
```

## Properties
Energy relative to the lowest polymorph listed for this composition in meV per atom: 142
Space-group type: P2/m
E_form in kJ/mol of formula units: 164


Entry 2:
The following is a PBE-GGA calculation of a geometry-optimized CrCdAg2 structure, from Alexandria via LeMat-Bulk.

```
CrCdAg2
1.0
3.074 0.000 0.000
0.000 3.919 0.000
0.000 0.000 6.091
Ag Cr Cd
2 1 1
Direct
0.000 0.000 0.989
0.000 0.000 0.511
0.500 0.500 0.750
0.500 0.500 0.250
```

## Properties
Space-group type: Pmmm
E_form in kJ/mol of formula units: 97


Entry 3:
The following is a PBE-GGA calculation of a geometry-optimized CsDyTeO4 structure, from Alexandria via LeMat-Bulk.

```
CsDyTeO4
1.0
5.949 0.000 -0.644
0.000 6.246 0.000
-3.063 0.000 8.366
O Cs Dy Te
8 2 2 2
Direct
0.476 0.750 0.214
0.013 0.518 0.350
0.551 0.250 0.496
0.524 0.250 0.786
0.449 0.750 0.504
0.987 0.482 0.650
0.013 0.982 0.350
0.987 0.018 0.650
0.481 0.750 0.864
0.519 0.250 0.136
0.805 0.750 0.464
0.195 0.250 0.536
0.185 0.750 0.280
0.815 0.250 0.720
```

## Properties
E_form (uncorrected) in eV per atom: -2.05
Space-group type: P2_1/m


Entry 4:
The following is a PBE-GGA calculation of a geometry-optimized SeO2F structure, from Alexandria via LeMat-Bulk.

```
SeO2F
1.0
5.384 0.000 0.000
0.000 4.751 0.000
0.000 0.000 14.499
Se O F
4 8 4
Direct
0.500 0.250 0.856
0.000 0.750 0.356
0.000 0.250 0.644
0.500 0.750 0.144
0.343 0.013 0.913
0.157 0.013 0.587
0.843 0.487 0.587
0.843 0.987 0.413
0.657 0.487 0.913
0.657 0.987 0.087
0.343 0.513 0.087
0.157 0.513 0.413
0.750 0.625 0.250
0.250 0.375 0.750
0.750 0.125 0.750
0.250 0.875 0.250
```

## Properties
Energy relative to the lowest polymorph listed for this composition in meV per atom: 0
E_form (uncorrected) in eV per atom: -0.58
Space-group type: Pnna


Question: What is the formula in the fourth record?
Answer: SeO2F